[1]
VASP calculation (PBE) on a geometry-optimized LiMg2AsH structure.

abc: 4.338 4.338 4.062
angles: 90.00 90.00 90.00
Positions (direct):
H (0.000, 0.000, 0.000)
Mg (0.000, 0.500, 0.000)
As (0.500, 0.500, 0.500)
Mg (0.500, 0.000, 0.000)
Li (0.000, 0.000, 0.500)

Results
Fermi-level density of states (states/eV/cell): 1.472
DFT total energy (eV/atom): -2.909
Symmetry: No. 123



[2]
VASP calculation (PBE) on a geometry-optimized Li3AsH36Se4N12 structure.

abc: 9.228 9.228 9.228
angles: 109.47 109.47 109.47
Positions (direct):
H (0.893, 0.404, 0.717)
H (0.488, 0.312, 0.596)
H (0.596, 0.312, 0.488)
Se (0.255, 0.000, 0.000)
H (0.107, 0.512, 0.824)
H (0.312, 0.596, 0.488)
H (0.283, 0.176, 0.688)
N (0.499, 0.229, 0.499)
N (0.771, 0.269, 0.269)
H (0.382, 0.173, 0.382)
H (0.618, 0.791, 0.000)
H (0.312, 0.488, 0.596)
Li (0.000, 0.500, 0.500)
N (0.000, 0.731, 0.501)
H (0.176, 0.688, 0.283)
H (0.791, 0.618, 0.000)
N (0.731, 0.501, 0.000)
N (0.501, 0.000, 0.731)
H (0.596, 0.488, 0.312)
H (0.382, 0.382, 0.173)
H (0.173, 0.382, 0.382)
H (0.000, 0.618, 0.791)
H (0.824, 0.107, 0.512)
H (0.717, 0.404, 0.893)
H (0.404, 0.717, 0.893)
H (0.893, 0.717, 0.404)
H (0.618, 0.000, 0.791)
H (0.107, 0.824, 0.512)
Se (0.745, 0.745, 0.745)
H (0.488, 0.596, 0.312)
N (0.501, 0.731, 0.000)
H (0.404, 0.893, 0.717)
H (0.688, 0.283, 0.176)
H (0.283, 0.688, 0.176)
Li (0.500, 0.500, 0.000)
Se (0.000, 0.255, 0.000)
N (0.000, 0.501, 0.731)
H (0.512, 0.107, 0.824)
N (0.731, 0.000, 0.501)
H (0.209, 0.209, 0.827)
H (0.791, 0.000, 0.618)
H (0.827, 0.209, 0.209)
H (0.717, 0.893, 0.404)
Se (0.000, 0.000, 0.255)
H (0.209, 0.827, 0.209)
H (0.512, 0.824, 0.107)
H (0.688, 0.176, 0.283)
As (0.000, 0.000, 0.000)
H (0.000, 0.791, 0.618)
N (0.269, 0.771, 0.269)
N (0.269, 0.269, 0.771)
N (0.499, 0.499, 0.229)
H (0.824, 0.512, 0.107)
Li (0.500, 0.000, 0.500)
N (0.229, 0.499, 0.499)
H (0.176, 0.283, 0.688)

Results
Fermi-level density of states (states/eV/cell): 0.000
DFT total energy (eV/atom): -4.809
Symmetry: No. 217



[3]
VASP calculation (PBE) on a geometry-optimized Li2Ni2As2H structure.

abc: 3.771 3.771 6.803
angles: 106.09 106.09 90.00
Positions (direct):
As (0.624, 0.624, 0.248)
Ni (0.500, 0.000, 0.000)
Li (0.164, 0.164, 0.328)
Ni (0.000, 0.500, 0.000)
As (0.376, 0.376, 0.752)
H (0.000, 0.000, 0.000)
Li (0.836, 0.836, 0.672)

Results
Fermi-level density of states (states/eV/cell): 4.302
DFT total energy (eV/atom): -4.429
Symmetry: No. 139



[4]
VASP calculation (PBE) on a geometry-optimized Li2Ni5As3H2 structure.

abc: 3.699 3.699 10.415
angles: 100.23 100.23 90.00
Positions (direct):
Ni (0.095, 0.595, 0.189)
As (0.171, 0.171, 0.342)
Li (0.698, 0.698, 0.396)
Ni (0.500, 0.500, 0.000)
Ni (0.595, 0.095, 0.189)
As (0.000, 0.000, 0.000)
Ni (0.405, 0.905, 0.811)
Li (0.302, 0.302, 0.604)
As (0.829, 0.829, 0.658)
Ni (0.905, 0.405, 0.811)
H (0.586, 0.586, 0.171)
H (0.414, 0.414, 0.829)

Results
Fermi-level density of states (states/eV/cell): 8.081
DFT total energy (eV/atom): -4.737
Symmetry: No. 139



[5]
VASP calculation (PBE) on a geometry-optimized LiNi2AsH structure.

abc: 3.687 3.687 3.631
angles: 90.00 90.00 90.00
Positions (direct):
As (0.500, 0.500, 0.500)
Ni (0.500, 0.000, 0.000)
Li (0.000, 0.000, 0.500)
H (0.000, 0.000, 0.000)
Ni (0.000, 0.500, 0.000)

Results
Fermi-level density of states (states/eV/cell): 4.110
DFT total energy (eV/atom): -4.571
Symmetry: No. 123



[6]
VASP calculation (PBE) on a geometry-optimized LiAs2HO6 structure.

abc: 4.909 8.472 8.472
angles: 87.46 65.65 65.65
Positions (direct):
O (0.331, 0.692, 0.788)
O (0.169, 0.212, 0.308)
O (0.888, 0.976, 0.334)
O (0.831, 0.788, 0.692)
As (0.297, 0.366, 0.185)
Li (0.750, 0.253, 0.747)
O (0.451, 0.700, 0.427)
As (0.203, 0.815, 0.634)
O (0.549, 0.300, 0.573)
O (0.612, 0.666, 0.024)
As (0.703, 0.634, 0.815)
Li (0.250, 0.747, 0.253)
As (0.797, 0.185, 0.366)
H (0.250, 0.367, 0.633)
O (0.112, 0.024, 0.666)
O (0.951, 0.427, 0.700)
O (0.049, 0.573, 0.300)
H (0.750, 0.633, 0.367)
O (0.669, 0.308, 0.212)
O (0.388, 0.334, 0.976)

Results
Fermi-level density of states (states/eV/cell): 0.000
DFT total energy (eV/atom): -5.708
Symmetry: No. 15



[7]
VASP calculation (PBE) on a geometry-optimized LiAsH2O4 structure.

abc: 6.586 7.359 7.852
angles: 90.00 90.00 90.00
Positions (direct):
Li (0.518, 0.993, 0.788)
O (0.068, 0.585, 0.515)
O (0.925, 0.694, 0.118)
O (0.930, 0.502, 0.807)
H (0.495, 0.548, 0.873)
O (0.782, 0.864, 0.813)
H (0.995, 0.548, 0.627)
H (0.505, 0.048, 0.127)
O (0.718, 0.364, 0.313)
O (0.282, 0.864, 0.687)
Li (0.982, 0.493, 0.288)
Li (0.018, 0.993, 0.712)
O (0.570, 0.002, 0.307)
H (0.014, 0.323, 0.864)
H (0.005, 0.048, 0.373)
H (0.986, 0.823, 0.136)
O (0.070, 0.002, 0.193)
As (0.307, 0.666, 0.581)
O (0.425, 0.694, 0.382)
As (0.193, 0.166, 0.081)
O (0.430, 0.502, 0.693)
As (0.807, 0.666, 0.919)
O (0.218, 0.364, 0.187)
H (0.514, 0.323, 0.636)
O (0.075, 0.194, 0.882)
O (0.575, 0.194, 0.618)
Li (0.482, 0.493, 0.212)
H (0.486, 0.823, 0.364)
O (0.932, 0.085, 0.485)
O (0.432, 0.085, 0.015)
As (0.693, 0.166, 0.419)
O (0.568, 0.585, 0.985)

Results
Fermi-level density of states (states/eV/cell): 0.000
Energy above the lowest structure with this stoichiometry (meV per atom): 0
Symmetry: No. 33



[8]
VASP calculation (PBE) on a geometry-optimized LiAs2H3O7 structure.

abc: 7.465 7.465 5.712
angles: 70.16 70.16 77.91
Positions (direct):
H (0.716, 0.022, 0.509)
As (0.271, 0.271, 0.957)
As (0.348, 0.652, 0.500)
O (0.580, 0.580, 0.583)
As (0.729, 0.729, 0.043)
H (0.978, 0.284, 0.491)
O (0.519, 0.211, 0.844)
O (0.133, 0.133, 0.935)
H (0.310, 0.310, 0.330)
H (0.690, 0.690, 0.670)
O (0.867, 0.867, 0.065)
O (0.420, 0.420, 0.417)
O (0.231, 0.231, 0.294)
Li (0.152, 0.848, 0.000)
H (0.022, 0.716, 0.509)
Li (0.848, 0.152, 0.000)
H (0.284, 0.978, 0.491)
O (0.855, 0.298, 0.626)
As (0.652, 0.348, 0.500)
O (0.145, 0.702, 0.374)
O (0.298, 0.855, 0.626)
O (0.702, 0.145, 0.374)
O (0.481, 0.789, 0.156)
O (0.211, 0.519, 0.844)
O (0.769, 0.769, 0.706)
O (0.789, 0.481, 0.156)

Results
Fermi-level density of states (states/eV/cell): 0.000
DFT total energy (eV/atom): -5.582
Symmetry: No. 12



[9]
VASP calculation (PBE) on a geometry-optimized LiAsH2O4 structure.

abc: 4.278 4.876 4.876
angles: 88.56 63.98 63.98
Positions (direct):
O (0.969, 0.393, 0.190)
Li (0.000, 0.000, 0.000)
O (0.553, 0.607, 0.810)
O (0.447, 0.190, 0.393)
O (0.031, 0.810, 0.607)
H (0.801, 0.699, 0.699)
As (0.500, 0.500, 0.500)
H (0.199, 0.301, 0.301)

Results
Fermi-level density of states (states/eV/cell): 0.000
Energy above the lowest structure with this stoichiometry (meV per atom): 164
Symmetry: No. 23



[10]
VASP calculation (PBE) on a geometry-optimized LiAsP2H structure.

abc: 4.100 3.952 4.100
angles: 90.00 90.00 90.00
Positions (direct):
P (0.000, 0.000, 0.500)
As (0.500, 0.500, 0.500)
H (0.000, 0.000, 0.000)
Li (0.000, 0.500, 0.000)
P (0.500, 0.000, 0.000)

Results
Fermi-level density of states (states/eV/cell): 1.542
DFT total energy (eV/atom): -3.801
Symmetry: No. 123



[11]
VASP calculation (PBE) on a geometry-optimized Li2AsHPd structure.

abc: 3.927 3.927 3.805
angles: 90.00 90.00 90.00
Positions (direct):
Li (0.500, 0.000, 0.000)
H (0.000, 0.000, 0.000)
Li (0.000, 0.500, 0.000)
Pd (0.000, 0.000, 0.500)
As (0.500, 0.500, 0.500)

Results
Fermi-level density of states (states/eV/cell): 0.727
Energy above the lowest structure with this stoichiometry (meV per atom): 0
Symmetry: No. 123



[12]
VASP calculation (PBE) on a geometry-optimized Li2AsHPd structure.

abc: 3.899 3.899 3.953
angles: 90.00 90.00 90.00
Positions (direct):
H (0.000, 0.000, 0.000)
As (0.000, 0.000, 0.500)
Li (0.000, 0.500, 0.000)
Li (0.500, 0.000, 0.000)
Pd (0.500, 0.500, 0.500)

Results
Fermi-level density of states (states/eV/cell): 1.956
Energy above the lowest structure with this stoichiometry (meV per atom): 189
Symmetry: No. 123



[13]
VASP calculation (PBE) on a geometry-optimized Li5AsH2Pd structure.

abc: 4.075 4.075 7.171
angles: 90.00 90.00 90.00
Positions (direct):
As (0.500, 0.500, 0.500)
Pd (0.000, 0.000, 0.000)
Li (0.500, 0.000, 0.255)
Li (0.000, 0.500, 0.745)
H (0.000, 0.000, 0.233)
Li (0.500, 0.000, 0.745)
H (0.000, 0.000, 0.767)
Li (0.000, 0.000, 0.500)
Li (0.000, 0.500, 0.255)

Results
Fermi-level density of states (states/eV/cell): 0.859
DFT total energy (eV/atom): -3.401
Symmetry: No. 123



[14]
VASP calculation (PBE) on a geometry-optimized LiAs2H3Pd8 structure.

abc: 5.704 5.704 7.396
angles: 67.32 67.32 60.00
Positions (direct):
H (0.499, 0.499, 0.001)
Pd (0.771, 0.771, 0.192)
Pd (0.771, 0.265, 0.192)
Pd (0.729, 0.235, 0.802)
As (0.505, 0.505, 0.486)
Pd (0.235, 0.235, 0.802)
Pd (0.235, 0.729, 0.802)
H (0.001, 0.499, 0.001)
Pd (0.265, 0.771, 0.192)
Pd (0.716, 0.716, 0.851)
As (0.155, 0.155, 0.536)
Li (0.835, 0.835, 0.495)
Pd (0.277, 0.277, 0.169)
H (0.499, 0.001, 0.001)

Results
Fermi-level density of states (states/eV/cell): 6.860
DFT total energy (eV/atom): -4.648
Symmetry: No. 160



[15]
VASP calculation (PBE) on a geometry-optimized LiPmAsH structure.

abc: 4.693 4.693 4.693
angles: 60.00 60.00 60.00
Positions (direct):
Li (0.500, 0.500, 0.500)
Pm (0.000, 0.000, 0.000)
H (0.250, 0.250, 0.250)
As (0.750, 0.750, 0.750)

Results
Energy above the lowest structure with this stoichiometry (meV per atom): 292
Symmetry: No. 216



[16]
VASP calculation (PBE) on a geometry-optimized LiPmAsH structure.

abc: 3.999 3.999 8.275
angles: 90.00 90.00 90.00
Positions (direct):
As (0.000, 0.500, 0.298)
H (0.500, 0.500, 0.000)
Li (0.500, 0.500, 0.500)
Pm (0.000, 0.500, 0.844)
Li (0.000, 0.000, 0.500)
As (0.500, 0.000, 0.702)
H (0.000, 0.000, 0.000)
Pm (0.500, 0.000, 0.156)

Results
Fermi-level density of states (states/eV/cell): 0.084
Energy above the lowest structure with this stoichiometry (meV per atom): 0
Symmetry: No. 129



[17]
VASP calculation (PBE) on a geometry-optimized LiPrAsH structure.

abc: 4.062 4.062 8.336
angles: 90.00 90.00 90.00
Positions (direct):
As (0.500, 0.000, 0.698)
Pr (0.000, 0.500, 0.840)
H (0.500, 0.500, 0.000)
Pr (0.500, 0.000, 0.160)
Li (0.000, 0.000, 0.500)
H (0.000, 0.000, 0.000)
Li (0.500, 0.500, 0.500)
As (0.000, 0.500, 0.302)

Results
Fermi-level density of states (states/eV/cell): 0.151
DFT total energy (eV/atom): -4.623
Symmetry: No. 129



[18]
VASP calculation (PBE) on a geometry-optimized Li2AsHPt structure.

abc: 3.930 3.930 3.803
angles: 90.00 90.00 90.00
Positions (direct):
Li (0.500, 0.000, 0.000)
H (0.000, 0.000, 0.000)
Li (0.000, 0.500, 0.000)
As (0.500, 0.500, 0.500)
Pt (0.000, 0.000, 0.500)

Results
Fermi-level density of states (states/eV/cell): 0.922
DFT total energy (eV/atom): -4.081
Symmetry: No. 123



[19]
VASP calculation (PBE) on a geometry-optimized Li3PuAs2H structure.

abc: 4.440 4.141 7.758
angles: 105.48 106.63 90.00
Positions (direct):
Li (0.185, 0.185, 0.371)
H (0.000, 0.000, 0.000)
As (0.631, 0.631, 0.263)
As (0.369, 0.369, 0.737)
Li (0.000, 0.500, 0.000)
Li (0.815, 0.815, 0.629)
Pu (0.500, 0.000, 0.000)

Results
Fermi-level density of states (states/eV/cell): 9.950
DFT total energy (eV/atom): -5.175
Symmetry: No. 71



[20]
VASP calculation (PBE) on a geometry-optimized LiPuAsH structure.

abc: 4.579 4.579 4.579
angles: 60.00 60.00 60.00
Positions (direct):
H (0.500, 0.500, 0.500)
Li (0.250, 0.250, 0.250)
Pu (0.750, 0.750, 0.750)
As (0.000, 0.000, 0.000)

Results
Fermi-level density of states (states/eV/cell): 7.428
Energy above the lowest structure with this stoichiometry (meV per atom): 272
Symmetry: No. 216



| no. | calculated density (Mg/m³) |
| --- | --- |
| 1 | 2.86 |
| 2 | 1.69 |
| 3 | 5.26 |
| 4 | 6.43 |
| 5 | 6.74 |
| 6 | 2.92 |
| 7 | 2.58 |
| 8 | 3.22 |
| 9 | 3.06 |
| 10 | 3.62 |
| 11 | 5.55 |
| 12 | 5.42 |
| 13 | 3.04 |
| 14 | 9.00 |
| 15 | 5.18 |
| 16 | 5.72 |
| 17 | 5.40 |
| 18 | 8.05 |
| 19 | 5.26 |
| 20 | 7.99 |